Material: SmEuThMg
Method: DFT, PBE-GGA
State: optimized geometry

Summary:
Crystal system: cubic
V, Å³ per atom: 32.10
Total energy, eV/cell: -92.6

a b c (Å): 8.0084 8.0084 8.0084
angles (deg): 90.00 90.00 90.00
Space group F-43m (No. 216)
One atom of each set of equivalent atoms:
Sm  0.0000  0.0000  0.0000 (multiplicity 4)
Eu  0.0000  0.0000  0.5000 (multiplicity 4)
Th  0.2500  0.2500  0.7500 (multiplicity 4)
Mg  0.2500  0.2500  0.2500 (multiplicity 4)